{
  "formula": "LiZn2Ga6",
  "functional": "PBE-GGA",
  "state": "optimized geometry",
  "lattice": [[2.521, 1.456, 8.461], [-2.521, 1.456, 8.461], [0.000, -2.911, 8.461]],
  "species": ["Li", "Zn", "Zn", "Ga", "Ga", "Ga", "Ga", "Ga", "Ga"],
  "fractional_positions": [[0.000, 0.000, 0.000], [0.290, 0.290, 0.290], [0.383, 0.383, 0.383], [0.080, 0.453, 0.826], [0.219, 0.851, 0.588], [0.453, 0.826, 0.080], [0.588, 0.219, 0.851], [0.826, 0.080, 0.453], [0.851, 0.588, 0.219]],
  "de_polymorph_mev_per_atom": 113.9
}

***

{
  "formula": "Li6ZnGa2",
  "functional": "PBE-GGA",
  "state": "optimized geometry",
  "lattice": [[6.623, -3.865, 0.000], [6.623, 3.865, 0.000], [-0.012, 0.000, 2.677]],
  "species": ["Li", "Li", "Li", "Li", "Li", "Li", "Zn", "Ga", "Ga"],
  "fractional_positions": [[0.165, 0.500, 0.000], [0.165, 0.835, 0.000], [0.500, 0.165, 0.000], [0.500, 0.835, 0.000], [0.835, 0.165, 0.000], [0.835, 0.500, 0.000], [0.500, 0.500, 0.500], [0.167, 0.167, 0.500], [0.833, 0.833, 0.500]],
  "de_polymorph_mev_per_atom": 7.3
}

***

{
  "formula": "LiZn6Ga12",
  "functional": "PBE-GGA",
  "state": "optimized geometry",
  "lattice": [[4.743, 2.738, 4.353], [-4.743, 2.738, 4.353], [0.000, -5.477, 4.353]],
  "species": ["Li", "Zn", "Zn", "Zn", "Zn", "Zn", "Zn", "Ga", "Ga", "Ga", "Ga", "Ga", "Ga", "Ga", "Ga", "Ga", "Ga", "Ga", "Ga"],
  "fractional_positions": [[0.000, 0.000, 0.000], [0.092, 0.290, 0.747], [0.253, 0.908, 0.710], [0.290, 0.747, 0.092], [0.710, 0.253, 0.908], [0.747, 0.092, 0.290], [0.908, 0.710, 0.253], [0.004, 0.353, 0.147], [0.147, 0.004, 0.353], [0.205, 0.546, 0.455], [0.353, 0.147, 0.004], [0.454, 0.545, 0.795], [0.455, 0.205, 0.546], [0.545, 0.795, 0.454], [0.546, 0.455, 0.205], [0.647, 0.853, 0.996], [0.795, 0.454, 0.545], [0.853, 0.996, 0.647], [0.996, 0.647, 0.853]],
  "de_polymorph_mev_per_atom": 38.0
}

***

{
  "formula": "LiZn8Ga2",
  "functional": "PBE-GGA",
  "state": "optimized geometry",
  "lattice": [[3.412, -6.375, 0.000], [3.412, 6.375, 0.000], [-1.604, 0.000, 4.166]],
  "species": ["Li", "Zn", "Zn", "Zn", "Zn", "Zn", "Zn", "Zn", "Zn", "Ga", "Ga"],
  "fractional_positions": [[0.000, 0.000, 0.000], [0.095, 0.312, 0.661], [0.209, 0.791, 0.000], [0.312, 0.095, 0.661], [0.401, 0.401, 0.201], [0.599, 0.599, 0.799], [0.688, 0.905, 0.339], [0.791, 0.209, 0.000], [0.905, 0.688, 0.339], [0.307, 0.693, 0.500], [0.693, 0.307, 0.500]],
  "final_energy_ev_per_cell": -17.73
}

***

{
  "formula": "Li2ZnGa2",
  "functional": "PBE-GGA",
  "state": "optimized geometry",
  "lattice": [[-1.810, 1.810, 6.502], [1.810, -1.810, 6.502], [1.810, 1.810, -6.502]],
  "species": ["Li", "Li", "Zn", "Ga", "Ga"],
  "fractional_positions": [[0.250, 0.750, 0.500], [0.750, 0.250, 0.500], [0.000, 0.000, 0.000], [0.403, 0.403, 0.000], [0.597, 0.597, 0.000]],
  "de_polymorph_mev_per_atom": 165.9
}

***

{
  "formula": "Li4ZnGa2",
  "functional": "PBE-GGA",
  "state": "optimized geometry",
  "lattice": [[6.555, -1.461, 0.000], [6.555, 1.461, 0.000], [-2.926, 0.000, 6.170]],
  "species": ["Li", "Li", "Li", "Li", "Zn", "Ga", "Ga"],
  "fractional_positions": [[0.086, 0.086, 0.206], [0.358, 0.358, 0.112], [0.642, 0.642, 0.888], [0.914, 0.914, 0.794], [0.000, 0.000, 0.500], [0.221, 0.221, 0.641], [0.779, 0.779, 0.359]],
  "de_polymorph_mev_per_atom": 54.7
}

***

{
  "formula": "LiZnGa6",
  "functional": "PBE-GGA",
  "state": "optimized geometry",
  "lattice": [[4.670, 2.696, 1.967], [-4.670, 2.696, 1.967], [0.000, -5.392, 1.967]],
  "species": ["Li", "Zn", "Ga", "Ga", "Ga", "Ga", "Ga", "Ga"],
  "fractional_positions": [[0.000, 0.000, 0.000], [0.500, 0.500, 0.500], [0.242, 0.242, 0.730], [0.242, 0.730, 0.242], [0.270, 0.758, 0.758], [0.730, 0.242, 0.242], [0.758, 0.270, 0.758], [0.758, 0.758, 0.270]],
  "de_polymorph_mev_per_atom": 42.6
}

***

{
  "formula": "Li3ZnGa3",
  "functional": "PBE-GGA",
  "state": "optimized geometry",
  "lattice": [[3.430, -4.996, 0.000], [3.430, 4.996, 0.000], [-0.563, 0.000, 7.070]],
  "species": ["Li", "Li", "Li", "Li", "Li", "Li", "Zn", "Zn", "Ga", "Ga", "Ga", "Ga", "Ga", "Ga"],
  "fractional_positions": [[0.114, 0.886, 0.000], [0.337, 0.663, 0.500], [0.382, 0.382, 0.121], [0.618, 0.618, 0.879], [0.663, 0.337, 0.500], [0.886, 0.114, 0.000], [0.246, 0.246, 0.710], [0.754, 0.754, 0.290], [0.030, 0.507, 0.808], [0.130, 0.130, 0.356], [0.493, 0.970, 0.192], [0.507, 0.030, 0.808], [0.870, 0.870, 0.644], [0.970, 0.493, 0.192]],
  "de_polymorph_mev_per_atom": 83.4
}

***

So what do the calculations give for calculated volume? Going down the list: 20.7 15.2 17.9 16.5 17.0 16.9 18.6 17.3 Å³/atom.